# SiOsPt

A relaxed structure of SiOsPt (PBE, Alexandria).

Values from the calculation:
The offset from the most stable computed form is 0 meV per atom. Its symmetry is No. 216. The uncorrected formation energy comes out at -85 kJ/mol of formula units.

Cell lengths 4.0233, 4.0233, 4.0233 Å; angles 60.00, 60.00, 60.00 degrees
With the nearest neighbours (Å) after each atom.
Element x y z (fractional)
1 Si 0.7500 0.7500 0.7500  4 Os 2.46, 4 Pt 2.46
2 Os 0.0000 0.0000 0.0000  4 Si 2.46
3 Pt 0.5000 0.5000 0.5000  4 Si 2.46

# Ti2WC

A relaxed structure of Ti2WC (PBE, Alexandria).

Values from the calculation:
Its energy relative to the elements is 147 meV/atom. Its symmetry is No. 122.

Cell lengths 7.4296, 7.4296, 5.6671 Å; angles 49.04, 49.04, 90.00 degrees
With the nearest neighbours (Å) after each atom.
Element x y z (fractional)
1 W 0.0000 0.0000 0.0000  2 C 2.13
2 W 0.7500 0.2500 0.5000  2 C 2.13
3 Ti 0.2461 0.6250 0.2500  2 C 2.16
4 Ti 0.3750 0.4961 0.7500  2 C 2.16
5 Ti 0.8750 0.7539 0.7500  2 C 2.16
6 Ti 0.5039 0.1250 0.2500  2 C 2.16
7 C 0.5000 0.5000 0.0000  2 W 2.13, 4 Ti 2.16
8 C 0.2500 0.7500 0.5000  2 W 2.13, 4 Ti 2.16